No. 1
DFT (PBE-GGA) results for SrH3Pt after structural relaxation.

```
SrH3Pt
1.0
5.568 0.000 0.000
0.000 5.568 0.000
0.000 0.000 3.769
Sr H Pt
2 6 2
Direct
0.000 0.000 0.000
0.500 0.500 0.000
0.000 0.500 0.000
0.221 0.279 0.500
0.279 0.779 0.500
0.500 0.000 0.000
0.721 0.221 0.500
0.779 0.721 0.500
0.000 0.500 0.500
0.500 0.000 0.500
```

Calculated values
SG = No. 127
D(E_F) = 1.77 states/eV per cell
Calculated total energy = -0.152 Ha/atom

---

No. 2
DFT (PBE-GGA) results for Ba2NaCoPb after structural relaxation.

```
Ba2NaCoPb
1.0
6.415 0.000 0.000
0.000 6.415 0.000
0.000 0.000 4.765
Ba Na Co Pb
2 1 1 1
Direct
0.000 0.500 0.000
0.500 0.000 0.000
0.000 0.000 0.000
0.000 0.000 0.500
0.500 0.500 0.500
```

Calculated values
E_form = 0.59 eV per atom
SG = No. 123
D(E_F) = 5.57 states/eV per cell
Calculated total energy = -0.096 Ha/atom

---

No. 3
DFT (PBE-GGA) results for TaIrSN2 after structural relaxation.

```
TaIrSN2
1.0
3.727 0.000 0.000
0.000 3.727 0.000
0.000 0.000 5.568
Ta Ir S N
1 1 1 2
Direct
0.000 0.000 0.000
0.500 0.500 0.500
0.500 0.500 0.000
0.000 0.500 0.500
0.500 0.000 0.500
```

Calculated values
Energy above the lowest structure with this stoichiometry = 259.6 meV/atom
SG = No. 123
D(E_F) = 4.08 states/eV per cell
Energy relative to the elements, uncorrected = 1.13 eV per atom
Calculated total energy = -0.264 Ha/atom

---

No. 4
DFT (PBE-GGA) results for Sc3TaBr after structural relaxation.

```
Sc3TaBr
1.0
4.905 0.000 0.000
0.000 4.905 0.000
0.000 0.000 4.905
Sc Ta Br
3 1 1
Direct
0.000 0.000 0.500
0.000 0.500 0.000
0.500 0.000 0.000
0.500 0.500 0.500
0.000 0.000 0.000
```

Calculated values
Energy above the lowest structure with this stoichiometry = 0.0 meV/atom
SG = No. 221
D(E_F) = 2.70 states/eV per cell
Energy relative to the elements, uncorrected = 0.34 eV per atom
Calculated total energy = -0.226 Ha/atom

---

No. 5
DFT (PBE-GGA) results for Zn2MoPb after structural relaxation.

```
Zn2MoPb
1.0
4.189 0.000 0.000
0.000 4.189 0.000
0.000 0.000 4.036
Zn Mo Pb
2 1 1
Direct
0.000 0.500 0.000
0.500 0.000 0.000
0.000 0.000 0.500
0.500 0.500 0.500
```

Calculated values
E_form = 0.47 eV per atom
SG = No. 123
D(E_F) = 2.63 states/eV per cell
Calculated total energy = -0.140 Ha/atom

---

No. 6
DFT (PBE-GGA) results for Cs2KLiBr6 after structural relaxation.

```
Cs2KLiBr6
1.0
0.000 5.808 5.808
5.808 0.000 5.808
5.808 5.808 0.000
Cs K Li Br
2 1 1 6
Direct
0.250 0.250 0.250
0.750 0.750 0.750
0.000 0.000 0.000
0.500 0.500 0.500
0.272 0.272 0.728
0.272 0.728 0.272
0.272 0.728 0.728
0.728 0.272 0.272
0.728 0.272 0.728
0.728 0.728 0.272
```

Calculated values
SG = No. 225
D(E_F) = 14.74 states/eV per cell
Energy relative to the elements, uncorrected = -1.19 eV per atom
Calculated total energy = -0.098 Ha/atom

---

No. 7
DFT (PBE-GGA) results for Pm12PrTh7 after structural relaxation.

```
Pm12PrTh7
1.0
-5.800 5.800 5.800
5.800 -5.800 5.800
5.800 5.800 -5.800
Pm Pr Th
12 1 7
Direct
0.077 0.308 0.769
0.231 0.539 0.308
0.231 0.923 0.692
0.308 0.231 0.539
0.308 0.769 0.077
0.461 0.692 0.769
0.539 0.308 0.231
0.692 0.231 0.923
0.692 0.769 0.461
0.769 0.077 0.308
0.769 0.461 0.692
0.923 0.692 0.231
0.000 0.000 0.000
0.000 0.000 0.500
0.000 0.500 0.000
0.000 0.500 0.500
0.500 0.000 0.000
0.500 0.000 0.500
0.500 0.500 0.000
0.500 0.500 0.500
```

Calculated values
E_form = 0.85 eV per atom
SG = No. 204
D(E_F) = 43.40 states/eV per cell
Calculated total energy = -0.178 Ha/atom

---

No. 8
DFT (PBE-GGA) results for CoSiSe2Br after structural relaxation.

```
CoSiSe2Br
1.0
4.669 0.000 0.000
0.000 4.669 0.000
0.000 0.000 4.919
Co Si Se Br
1 1 2 1
Direct
0.000 0.000 0.000
0.500 0.500 0.500
0.000 0.500 0.000
0.500 0.000 0.000
0.000 0.000 0.500
```

Calculated values
Energy above the lowest structure with this stoichiometry = 0.0 meV/atom
SG = No. 123
D(E_F) = 5.26 states/eV per cell
Energy relative to the elements, uncorrected = 0.48 eV per atom
Calculated total energy = -0.138 Ha/atom

---

No. 9
DFT (PBE-GGA) results for LaSe2Cl after structural relaxation.

```
LaSe2Cl
1.0
4.536 0.000 0.000
0.000 4.420 0.000
-0.422 0.000 5.706
La Se Cl
1 2 1
Direct
0.000 0.000 0.000
0.419 0.500 0.196
0.581 0.500 0.804
0.000 0.000 0.500
```

Calculated values
Energy above the lowest structure with this stoichiometry = 18.1 meV/atom
SG = No. 10
Energy relative to the elements, uncorrected = -1.51 eV per atom
Calculated total energy = -0.182 Ha/atom

---

No. 10
DFT (PBE-GGA) results for NdTm2Sn after structural relaxation.

```
NdTm2Sn
1.0
4.624 0.000 0.000
0.000 4.725 0.000
-2.299 0.000 11.154
Nd Tm Sn
2 4 2
Direct
0.192 0.250 0.385
0.808 0.750 0.615
0.056 0.750 0.113
0.437 0.750 0.873
0.563 0.250 0.127
0.944 0.250 0.887
0.340 0.250 0.678
0.660 0.750 0.322
```

Calculated values
E_form = -0.42 eV per atom
Energy above the lowest structure with this stoichiometry = 0.0 meV/atom
SG = No. 11
D(E_F) = 10.40 states/eV per cell
Calculated total energy = -0.178 Ha/atom

---

No. 11
DFT (PBE-GGA) results for LiTmAlIn after structural relaxation.

```
LiTmAlIn
1.0
0.000 3.503 3.503
3.503 0.000 3.503
3.503 3.503 0.000
Li Tm Al In
1 1 1 1
Direct
0.000 0.000 0.000
0.500 0.500 0.500
0.250 0.250 0.250
0.750 0.750 0.750
```

Calculated values
E_form = -0.28 eV per atom
SG = No. 216
D(E_F) = 0.94 states/eV per cell
Calculated total energy = -0.129 Ha/atom

---

No. 12
DFT (PBE-GGA) results for La2NbI after structural relaxation.

```
La2NbI
1.0
-3.856 3.856 4.664
3.856 -3.856 4.664
3.856 3.856 -4.664
La Nb I
4 2 2
Direct
0.041 0.625 0.916
0.375 0.291 0.416
0.709 0.125 0.084
0.875 0.959 0.584
0.000 0.000 0.000
0.750 0.250 0.500
0.250 0.750 0.500
0.500 0.500 0.000
```

Calculated values
Energy above the lowest structure with this stoichiometry = 106.7 meV/atom
SG = No. 122
D(E_F) = 8.28 states/eV per cell
Energy relative to the elements, uncorrected = 0.32 eV per atom
Calculated total energy = -0.185 Ha/atom

---

No. 13
DFT (PBE-GGA) results for Ca2Si2Hg after structural relaxation.

```
Ca2Si2Hg
1.0
8.365 0.000 0.000
0.000 8.365 0.000
0.000 0.000 3.694
Ca Si Hg
4 4 2
Direct
0.189 0.311 0.000
0.311 0.811 0.000
0.689 0.189 0.000
0.811 0.689 0.000
0.098 0.598 0.500
0.402 0.098 0.500
0.598 0.902 0.500
0.902 0.402 0.500
0.000 0.000 0.000
0.500 0.500 0.000
```

Calculated values
Energy above the lowest structure with this stoichiometry = 159.6 meV/atom
SG = No. 127
D(E_F) = 3.73 states/eV per cell
Energy relative to the elements, uncorrected = -0.22 eV per atom
Calculated total energy = -0.119 Ha/atom

---

No. 14
DFT (PBE-GGA) results for CaSiBr3 after structural relaxation.

```
CaSiBr3
1.0
5.363 0.000 0.000
0.000 5.363 0.000
0.000 0.000 5.363
Ca Si Br
1 1 3
Direct
0.000 0.000 0.000
0.500 0.500 0.500
0.000 0.500 0.500
0.500 0.000 0.500
0.500 0.500 0.000
```

Calculated values
Energy above the lowest structure with this stoichiometry = 47.4 meV/atom
SG = No. 221
D(E_F) = 5.45 states/eV per cell
Energy relative to the elements, uncorrected = -0.52 eV per atom
Calculated total energy = -0.111 Ha/atom

---

No. 15
DFT (PBE-GGA) results for HfTl2IO6 after structural relaxation.

```
HfTl2IO6
1.0
3.087 1.782 9.912
-3.087 1.782 9.912
0.000 -3.565 9.912
Hf Tl I O
2 4 2 12
Direct
0.099 0.099 0.099
0.901 0.901 0.901
0.228 0.228 0.228
0.369 0.369 0.369
0.631 0.631 0.631
0.772 0.772 0.772
0.000 0.000 0.000
0.500 0.500 0.500
0.098 0.098 0.682
0.098 0.682 0.098
0.212 0.704 0.704
0.296 0.296 0.788
0.296 0.788 0.296
0.318 0.902 0.902
0.682 0.098 0.098
0.704 0.212 0.704
0.704 0.704 0.212
0.788 0.296 0.296
0.902 0.318 0.902
0.902 0.902 0.318
```

Calculated values
SG = No. 166
D(E_F) = 0.00 states/eV per cell
Energy relative to the elements, uncorrected = -1.32 eV per atom
Calculated total energy = -0.218 Ha/atom

---

No. 16
DFT (PBE-GGA) results for Mg2PbBr after structural relaxation.

```
Mg2PbBr
1.0
3.611 0.000 0.000
0.000 4.014 0.000
0.000 0.000 7.673
Mg Pb Br
2 1 1
Direct
0.000 0.000 0.214
0.000 0.000 0.786
0.500 0.500 0.000
0.500 0.000 0.500
```

Calculated values
Energy above the lowest structure with this stoichiometry = 11.3 meV/atom
SG = No. 47
D(E_F) = 0.96 states/eV per cell
Energy relative to the elements, uncorrected = -0.41 eV per atom
Calculated total energy = -0.094 Ha/atom

---

No. 17
DFT (PBE-GGA) results for InOs2Cl after structural relaxation.

```
InOs2Cl
1.0
1.435 -2.598 0.000
1.435 2.598 0.000
0.000 0.000 8.930
In Os Cl
1 2 1
Direct
0.000 0.000 0.000
0.500 0.500 0.261
0.500 0.500 0.739
0.000 0.000 0.500
```

Calculated values
Energy above the lowest structure with this stoichiometry = 739.6 meV/atom
SG = No. 65
D(E_F) = 3.81 states/eV per cell
Energy relative to the elements, uncorrected = 1.00 eV per atom
Calculated total energy = -0.212 Ha/atom

---

No. 18
DFT (PBE-GGA) results for Ac2TmLu after structural relaxation.

```
Ac2TmLu
1.0
0.000 4.197 4.197
4.197 0.000 4.197
4.197 4.197 0.000
Ac Tm Lu
2 1 1
Direct
0.250 0.250 0.250
0.750 0.750 0.750
0.000 0.000 0.000
0.500 0.500 0.500
```

Calculated values
E_form = 0.08 eV per atom
Energy above the lowest structure with this stoichiometry = 20.4 meV/atom
SG = No. 225
D(E_F) = 6.06 states/eV per cell
Calculated total energy = -0.155 Ha/atom

---

No. 19
DFT (PBE-GGA) results for Al2ZnIn after structural relaxation.

```
Al2ZnIn
1.0
-2.036 2.036 4.592
2.036 -2.036 4.592
2.036 2.036 -4.592
Al Zn In
2 1 1
Direct
0.250 0.750 0.500
0.750 0.250 0.500
0.000 0.000 0.000
0.500 0.500 0.000
```

Calculated values
E_form = 0.15 eV per atom
SG = No. 139
D(E_F) = 1.03 states/eV per cell
Calculated total energy = -0.100 Ha/atom

---

No. 20
DFT (PBE-GGA) results for CsCd2Pd after structural relaxation.

```
CsCd2Pd
1.0
0.000 3.923 3.923
3.923 0.000 3.923
3.923 3.923 0.000
Cs Cd Pd
1 2 1
Direct
0.000 0.000 0.000
0.250 0.250 0.250
0.750 0.750 0.750
0.500 0.500 0.500
```

Calculated values
E_form = 0.28 eV per atom
Energy above the lowest structure with this stoichiometry = 473.4 meV/atom
SG = No. 225
D(E_F) = 2.03 states/eV per cell
Calculated total energy = -0.062 Ha/atom

---

No. 21
DFT (PBE-GGA) results for TmMgZrRu after structural relaxation.

```
TmMgZrRu
1.0
0.000 3.439 3.439
3.439 0.000 3.439
3.439 3.439 0.000
Tm Mg Zr Ru
1 1 1 1
Direct
0.000 0.000 0.000
0.750 0.750 0.750
0.500 0.500 0.500
0.250 0.250 0.250
```

Calculated values
E_form = -0.20 eV per atom
SG = No. 216
D(E_F) = 3.09 states/eV per cell
Calculated total energy = -0.227 Ha/atom

---

No. 22
DFT (PBE-GGA) results for Y3HPb after structural relaxation.

```
Y3HPb
1.0
6.624 0.000 0.000
0.000 3.596 0.000
-1.638 0.000 10.380
Y H Pb
6 2 2
Direct
0.083 0.250 0.363
0.225 0.250 0.901
0.400 0.750 0.636
0.600 0.250 0.364
0.775 0.750 0.099
0.917 0.750 0.637
0.172 0.250 0.679
0.828 0.750 0.321
0.291 0.750 0.158
0.709 0.250 0.842
```

Calculated values
Energy above the lowest structure with this stoichiometry = 93.8 meV/atom
SG = No. 11
D(E_F) = 9.26 states/eV per cell
Calculated total energy = -0.208 Ha/atom

---

No. 23
DFT (PBE-GGA) results for Nd4ScSb5 after structural relaxation.

```
Nd4ScSb5
1.0
-2.237 2.237 15.722
2.237 -2.237 15.722
2.237 2.237 -15.722
Nd Sc Sb
4 1 5
Direct
0.099 0.099 0.000
0.302 0.302 0.000
0.698 0.698 0.000
0.901 0.901 0.000
0.500 0.500 0.000
0.000 0.000 0.000
0.200 0.200 0.000
0.405 0.405 0.000
0.595 0.595 0.000
0.800 0.800 0.000
```

Calculated values
SG = No. 139
D(E_F) = 1.29 states/eV per cell
Energy relative to the elements, uncorrected = -1.10 eV per atom
Calculated total energy = -0.210 Ha/atom

---

No. 24
DFT (PBE-GGA) results for NiP3Cl after structural relaxation.

```
NiP3Cl
1.0
4.465 0.000 0.000
0.000 4.465 0.000
0.000 0.000 4.465
Ni P Cl
1 3 1
Direct
0.000 0.000 0.000
0.000 0.000 0.500
0.000 0.500 0.000
0.500 0.000 0.000
0.500 0.500 0.500
```

Calculated values
Energy above the lowest structure with this stoichiometry = 0.0 meV/atom
SG = No. 221
D(E_F) = 5.52 states/eV per cell
Energy relative to the elements, uncorrected = 0.74 eV per atom
Calculated total energy = -0.148 Ha/atom

---

No. 25
DFT (PBE-GGA) results for Ta3Cd after structural relaxation.

```
Ta3Cd
1.0
-2.105 2.105 4.230
2.105 -2.105 4.230
2.105 2.105 -4.230
Ta Cd
3 1
Direct
0.000 0.000 0.000
0.250 0.750 0.500
0.750 0.250 0.500
0.500 0.500 0.000
```

Calculated values
E_form = 0.30 eV per atom
Energy above the lowest structure with this stoichiometry = 186.5 meV/atom
SG = No. 139
D(E_F) = 3.99 states/eV per cell
Calculated total energy = -0.324 Ha/atom